Record 1
Compound: Li2BeGeO4
Source: Alexandria via LeMat-Bulk
Functional: PBE
Structure: relaxed

Results
- DOS(E_F): 0.00 states/eV per cell
- Formation energy from raw total energies: -2167 meV/atom

Unit cell a=5.8033 b=5.4719 c=4.8467 alpha=90.00 beta=90.00 gamma=90.00
Closest atoms and distances in Å follow each position.
Space group Pmn2_1 (No. 31)
Symmetry-distinct sites (fractional):
Li 0.2497 0.1617 0.0000 x4  4 O 1.94-2.00
Be 0.0000 0.3400 0.5087 x2  4 O 1.65-1.70
Ge 0.0000 0.6477 0.0079 x2  4 O 1.77-1.80
O 0.0000 0.3566 0.8483 x2  1 Be 1.65, 1 Ge 1.77
O 0.0000 0.6200 0.3748 x2  1 Be 1.66, 1 Ge 1.78
O 0.2428 0.1905 0.4115 x4  1 Be 1.70, 1 Ge 1.80

---

Record 2
Compound: Li3Pm2BeGe4
Source: Alexandria via LeMat-Bulk
Functional: PBE
Structure: relaxed

Results
- DOS(E_F): 2.13 states/eV per cell

Unit cell a=4.1549 b=4.1549 c=10.2120 alpha=90.00 beta=90.00 gamma=90.00
Closest atoms and distances in Å follow each position.
Space group P-4m2 (No. 115)
Symmetry-distinct sites (fractional):
Li 0.0000 0.0000 0.0000 x1  4 Ge 2.45
Li 0.0000 0.5000 0.6354 x2  5 Ge 2.42-2.50
Pm 0.0000 0.5000 0.2456 x2  8 Ge 3.18-3.33, 6 Li 3.18-3.26, 2 Be 3.26
Be 0.5000 0.5000 0.0000 x1  4 Ge 2.45
Ge 0.0000 0.0000 0.5000 x1  4 Li 2.50
Ge 0.0000 0.5000 0.8726 x2  3 Li 2.42-2.45, 2 Be 2.45
Ge 0.5000 0.5000 0.5000 x1  4 Li 2.50

---

Record 3
Compound: LiPu2Be3Ge4
Source: Alexandria via LeMat-Bulk
Functional: PBE
Structure: relaxed

Results
- DOS(E_F): 18.42 states/eV per cell

Unit cell a=4.0672 b=4.0672 c=9.7396 alpha=90.00 beta=90.00 gamma=90.00
Closest atoms and distances in Å follow each position.
Space group P-4m2 (No. 115)
Symmetry-distinct sites (fractional):
Li 0.0000 0.0000 0.0000 x1  4 Ge 2.44
Pu 0.0000 0.5000 0.7447 x2  6 Be 3.08-3.21, 8 Ge 3.09-3.13, 2 Li 3.21
Be 0.0000 0.5000 0.3689 x2  5 Ge 2.25-2.40
Be 0.5000 0.5000 0.0000 x1  4 Ge 2.44
Ge 0.0000 0.0000 0.5000 x1  4 Be 2.40
Ge 0.0000 0.5000 0.1380 x2  3 Be 2.25-2.44, 2 Li 2.44
Ge 0.5000 0.5000 0.5000 x1  4 Be 2.40

---

Record 4
Compound: Sr2LiBe3Ge4
Source: Alexandria via LeMat-Bulk
Functional: PBE
Structure: relaxed

Results
- DOS(E_F): 2.98 states/eV per cell

Unit cell a=4.2248 b=4.2248 c=10.0797 alpha=90.00 beta=90.00 gamma=90.00
Closest atoms and distances in Å follow each position.
Space group P-4m2 (No. 115)
Symmetry-distinct sites (fractional):
Sr 0.0000 0.5000 0.2463 x2  8 Ge 3.20-3.32, 6 Be 3.23-3.26, 2 Li 3.26
Li 0.5000 0.5000 0.0000 x1  4 Ge 2.50
Be 0.0000 0.0000 0.0000 x1  4 Ge 2.50
Be 0.0000 0.5000 0.6321 x2  5 Ge 2.36-2.50
Ge 0.0000 0.0000 0.5000 x1  4 Be 2.50
Ge 0.0000 0.5000 0.8667 x2  3 Be 2.36-2.50, 2 Li 2.50
Ge 0.5000 0.5000 0.5000 x1  4 Be 2.50

---

Calculated VASP energy, -6.17; -4.26; -6.31; -3.77 eV/atom (same order as the records).